(1)
The following is a DFT calculation (PBE-GGA) of an optimized crystal structure of InReP3.

Lattice parameters (Å, degrees): 4.8016 4.8016 4.8016 90.00 90.00 90.00
Space group Pm-3m (No. 221)
One atom of each set of equivalent atoms:
In (0.0000, 0.0000, 0.0000) [1 per cell]
Re (0.5000, 0.5000, 0.5000) [1 per cell]
P (0.0000, 0.0000, 0.5000) [3 per cell]

Summary:
The offset from the most stable computed form is 839.9 kJ/mol of formula units. For the mass density, the calculation gives 5.9 Mg/m³. The calculated total energy comes out at -4.0503 eV/atom. The value obtained for the energy relative to the elements is 51.5 kcal/mol of atoms.



(2)
The following is a DFT calculation (PBE-GGA) of an optimized crystal structure of LiTbMg.

Lattice parameters (Å, degrees): 3.6106 3.6106 11.4731 90.00 90.00 90.00
Space group I4mm (No. 107)
One atom of each set of equivalent atoms:
Li (0.0000, 0.0000, 0.0000) [2 per cell]
Tb (0.0000, 0.0000, 0.6866) [2 per cell]
Mg (0.0000, 0.0000, 0.3754) [2 per cell]

Summary:
The offset from the most stable computed form is 22.4 kJ/mol of formula units. For the mass density, the calculation gives 4.2 Mg/m³. The calculated total energy comes out at -2.6657 eV/atom. The value obtained for the energy relative to the elements is 1.1 kcal/mol of atoms.



(3)
The following is a DFT calculation (PBE-GGA) of an optimized crystal structure of Tl2SbPb.

Lattice parameters (Å, degrees): 7.0371 7.0371 13.2312 90.00 90.00 90.00
Space group I-42d (No. 122)
One atom of each set of equivalent atoms:
Tl (0.2396, 0.2500, 0.1250) [8 per cell]
Sb (0.0000, 0.0000, 0.0000) [4 per cell]
Pb (0.0000, 0.0000, 0.5000) [4 per cell]

Summary:
The offset from the most stable computed form is 96.3 kJ/mol of formula units. The formation energy from raw total energies is 246.6 meV/atom. For the mass density, the calculation gives 7.5 Mg/m³. The calculated total energy comes out at -2.8942 eV/atom.



(4)
The following is a DFT calculation (PBE-GGA) of an optimized crystal structure of RbCuSb3.

Lattice parameters (Å, degrees): 5.3164 5.3164 5.3164 90.00 90.00 90.00
Space group Pm-3m (No. 221)
One atom of each set of equivalent atoms:
Rb (0.0000, 0.0000, 0.0000) [1 per cell]
Cu (0.5000, 0.5000, 0.5000) [1 per cell]
Sb (0.0000, 0.5000, 0.5000) [3 per cell]

Summary:
The offset from the most stable computed form is 110.3 kJ/mol of formula units. The formation energy from raw total energies is 153.5 meV/atom. For the mass density, the calculation gives 5.7 Mg/m³. The calculated total energy comes out at -3.3327 eV/atom.



(5)
The following is a DFT calculation (PBE-GGA) of an optimized crystal structure of Ac8CoRh3I3.

Lattice parameters (Å, degrees): 8.6871 8.6871 26.1495 90.00 90.00 120.00
Space group R-3m (No. 166, hexagonal axes)
One atom of each set of equivalent atoms:
Ac (0.0000, 0.0000, 0.2283) [6 per cell]
Ac (0.0083, 0.5041, 0.2266) [18 per cell]
Co (0.0000, 0.0000, 0.5000) [3 per cell]
Rh (0.0000, 0.5000, 0.5000) [9 per cell]
I (0.0000, 0.5000, 0.0000) [9 per cell]

Summary:
The formation energy from raw total energies is -808.0 meV/atom. For the mass density, the calculation gives 7.5 Mg/m³. The calculated total energy comes out at -5.2532 eV/atom.



(6)
The following is a DFT calculation (PBE-GGA) of an optimized crystal structure of Tb2Nd4In.

Lattice parameters (Å, degrees): 6.3379 6.7301 12.3538 82.98 75.14 61.99
Space group P1 (No. 1)
One atom of each set of equivalent atoms:
Tb (0.0000, 0.0000, 0.0000) [1 per cell]
Tb (0.0210, 0.1975, 0.7351) [1 per cell]
Tb (0.1393, 0.7107, 0.5007) [1 per cell]
Tb (0.3630, 0.5158, 0.2358) [1 per cell]
Nd (0.0467, 0.4429, 0.0768) [1 per cell]
Nd (0.1078, 0.6238, 0.7924) [1 per cell]
Nd (0.2735, 0.1406, 0.4436) [1 per cell]
Nd (0.5074, 0.9448, 0.1602) [1 per cell]
Nd (0.5598, 0.5689, 0.9439) [1 per cell]
Nd (0.5935, 0.7690, 0.6613) [1 per cell]
Nd (0.6326, 0.2705, 0.5761) [1 per cell]
Nd (0.8756, 0.0883, 0.2922) [1 per cell]
In (0.5254, 0.0985, 0.8702) [1 per cell]
In (0.7676, 0.6136, 0.3699) [1 per cell]

Summary:
The offset from the most stable computed form is 0.0 kJ/mol of formula units. For the mass density, the calculation gives 7.5 Mg/m³. The calculated total energy comes out at -4.5329 eV/atom. The value obtained for the energy relative to the elements is -2.2 kcal/mol of atoms.



(7)
The following is a DFT calculation (PBE-GGA) of an optimized crystal structure of Tl10Te4Se.

Lattice parameters (Å, degrees): 12.3887 12.3887 7.8299 90.00 90.00 90.00
Space group I4/m (No. 87)
One atom of each set of equivalent atoms:
Tl (0.0000, 0.5000, 0.2500) [4 per cell]
Tl (0.0970, 0.1938, 0.2424) [16 per cell]
Te (0.1012, 0.7017, 0.5000) [8 per cell]
Se (0.0000, 0.0000, 0.0000) [2 per cell]

Summary:
The formation energy from raw total energies is -263.8 meV/atom. For the mass density, the calculation gives 7.3 Mg/m³. The calculated total energy comes out at -2.9114 eV/atom.



(8)
The following is a DFT calculation (PBE-GGA) of an optimized crystal structure of Pm3Zn4Ag4.

Lattice parameters (Å, degrees): 4.2958 7.5855 14.4950 90.00 90.00 90.00
Space group Immm (No. 71)
One atom of each set of equivalent atoms:
Pm (0.0000, 0.0000, 0.0000) [2 per cell]
Pm (0.0000, 0.5000, 0.1251) [4 per cell]
Zn (0.0000, 0.0000, 0.2214) [4 per cell]
Zn (0.0000, 0.1788, 0.5000) [4 per cell]
Ag (0.0000, 0.3074, 0.3292) [8 per cell]

Summary:
For the mass density, the calculation gives 7.9 Mg/m³. The calculated total energy comes out at -3.0624 eV/atom. The value obtained for the energy relative to the elements is -6.2 kcal/mol of atoms.



(9)
The following is a DFT calculation (PBE-GGA) of an optimized crystal structure of LiPaReN3.

Lattice parameters (Å, degrees): 6.3718 3.4119 8.3033 90.00 93.41 90.00
Space group P2_1/m (No. 11)
One atom of each set of equivalent atoms:
Li (0.1282, 0.2500, 0.0998) [2 per cell]
Pa (0.3726, 0.7500, 0.8321) [2 per cell]
Re (0.0242, 0.2500, 0.6111) [2 per cell]
N (0.1196, 0.2500, 0.8455) [2 per cell]
N (0.2049, 0.7500, 0.5724) [2 per cell]
N (0.4064, 0.7500, 0.1079) [2 per cell]

Summary:
The formation energy from raw total energies is -687.1 meV/atom. For the mass density, the calculation gives 8.6 Mg/m³. The calculated total energy comes out at -8.8261 eV/atom.



(10)
The following is a DFT calculation (PBE-GGA) of an optimized crystal structure of Sc4Ga2H.

Lattice parameters (Å, degrees): 4.1418 4.1418 15.0843 90.00 90.00 90.00
Space group I4/mmm (No. 139)
One atom of each set of equivalent atoms:
Sc (0.0000, 0.0000, 0.1775) [4 per cell]
Sc (0.0000, 0.5000, 0.0000) [4 per cell]
Ga (0.0000, 0.0000, 0.3657) [4 per cell]
H (0.0000, 0.0000, 0.0000) [2 per cell]

Summary:
The offset from the most stable computed form is 27.1 kJ/mol of formula units. For the mass density, the calculation gives 4.1 Mg/m³. The calculated total energy comes out at -5.4388 eV/atom.



(11)
The following is a DFT calculation (PBE-GGA) of an optimized crystal structure of Tm3Th5As8.

Lattice parameters (Å, degrees): 8.3854 8.3854 20.4416 90.00 90.00 120.00
Space group R-3m (No. 166, hexagonal axes)
One atom of each set of equivalent atoms:
Tm (0.0000, 0.5000, 0.0000) [9 per cell]
Th (0.0000, 0.0000, 0.0000) [3 per cell]
Th (0.0000, 0.0000, 0.5000) [3 per cell]
Th (0.0000, 0.5000, 0.5000) [9 per cell]
As (0.0000, 0.0000, 0.2539) [6 per cell]
As (0.0058, 0.5029, 0.2528) [18 per cell]

Summary:
For the mass density, the calculation gives 9.1 Mg/m³. The calculated total energy comes out at -6.9065 eV/atom. The value obtained for the energy relative to the elements is -32.9 kcal/mol of atoms.



(12)
The following is a DFT calculation (PBE-GGA) of an optimized crystal structure of MnFe2Rh5.

Lattice parameters (Å, degrees): 5.3105 10.5107 3.9468 90.00 90.00 90.00
Space group Pbam (No. 55)
One atom of each set of equivalent atoms:
Mn (0.0000, 0.0000, 0.0000) [2 per cell]
Fe (0.1953, 0.3644, 0.5000) [4 per cell]
Rh (0.0000, 0.5000, 0.0000) [2 per cell]
Rh (0.0601, 0.7552, 0.0000) [4 per cell]
Rh (0.2029, 0.1143, 0.5000) [4 per cell]

Summary:
For the mass density, the calculation gives 10.3 Mg/m³. The calculated total energy comes out at -7.9045 eV/atom. The value obtained for the energy relative to the elements is -1.1 kcal/mol of atoms.



(13)
The following is a DFT calculation (PBE-GGA) of an optimized crystal structure of YAl2Sn2.

Lattice parameters (Å, degrees): 4.4451 23.2797 4.3503 90.00 90.00 90.00
Space group Cmcm (No. 63)
One atom of each set of equivalent atoms:
Y (0.0000, 0.1413, 0.2500) [4 per cell]
Al (0.0000, 0.0364, 0.7500) [4 per cell]
Al (0.0000, 0.4614, 0.7500) [4 per cell]
Sn (0.0000, 0.2505, 0.7500) [4 per cell]
Sn (0.0000, 0.3718, 0.2500) [4 per cell]

Summary:
For the mass density, the calculation gives 5.6 Mg/m³. The calculated total energy comes out at -4.6860 eV/atom. The value obtained for the energy relative to the elements is -6.8 kcal/mol of atoms.



(14)
The following is a DFT calculation (PBE-GGA) of an optimized crystal structure of Cs2SrSiI6.

Lattice parameters (Å, degrees): 12.3861 12.3861 12.3861 90.00 90.00 90.00
Space group Fm-3m (No. 225)
One atom of each set of equivalent atoms:
Cs (0.2500, 0.2500, 0.2500) [8 per cell]
Sr (0.0000, 0.0000, 0.0000) [4 per cell]
Si (0.0000, 0.0000, 0.5000) [4 per cell]
I (0.0000, 0.0000, 0.2620) [24 per cell]

Summary:
The formation energy from raw total energies is -1122.9 meV/atom. For the mass density, the calculation gives 4.0 Mg/m³. The calculated total energy comes out at -2.9342 eV/atom.



(15)
The following is a DFT calculation (PBE-GGA) of an optimized crystal structure of SrHgRh.

Lattice parameters (Å, degrees): 6.9446 6.9446 6.9446 90.00 90.00 90.00
Space group P2_13 (No. 198)
One atom of each set of equivalent atoms:
Sr (0.0554, 0.4446, 0.5554) [4 per cell]
Hg (0.0497, 0.9503, 0.4503) [4 per cell]
Rh (0.2067, 0.2067, 0.2067) [4 per cell]

Summary:
For the mass density, the calculation gives 7.8 Mg/m³. The calculated total energy comes out at -3.3051 eV/atom. The value obtained for the energy relative to the elements is -4.5 kcal/mol of atoms.



(16)
The following is a DFT calculation (PBE-GGA) of an optimized crystal structure of SrMgCl2.

Lattice parameters (Å, degrees): 3.6767 3.6767 8.4744 90.00 90.00 90.00
Space group P4mm (No. 99)
One atom of each set of equivalent atoms:
Sr (0.0000, 0.0000, 0.0000) [1 per cell]
Mg (0.5000, 0.5000, 0.6772) [1 per cell]
Cl (0.0000, 0.0000, 0.5460) [1 per cell]
Cl (0.5000, 0.5000, 0.1738) [1 per cell]

Summary:
The offset from the most stable computed form is 46.5 kJ/mol of formula units. The formation energy from raw total energies is -1397.8 meV/atom. For the mass density, the calculation gives 2.7 Mg/m³. The calculated total energy comes out at -3.1402 eV/atom.



(17)
The following is a DFT calculation (PBE-GGA) of an optimized crystal structure of ZrIn2I4Cl2.

Lattice parameters (Å, degrees): 13.3497 8.2402 7.4213 90.00 112.30 90.00
Space group C2/m (No. 12)
One atom of each set of equivalent atoms:
Zr (0.0000, 0.0000, 0.0000) [2 per cell]
In (0.2221, 0.5000, 0.2087) [4 per cell]
I (0.0814, 0.2484, 0.8128) [8 per cell]
Cl (0.1728, 0.0000, 0.2813) [4 per cell]

Summary:
The formation energy from raw total energies is -934.1 meV/atom. For the mass density, the calculation gives 4.0 Mg/m³. The calculated total energy comes out at -3.5918 eV/atom.



(18)
The following is a DFT calculation (PBE-GGA) of an optimized crystal structure of ReNiTe2N.

Lattice parameters (Å, degrees): 5.3355 5.3355 3.7017 90.00 90.00 90.00
Space group P4/mmm (No. 123)
One atom of each set of equivalent atoms:
Re (0.0000, 0.0000, 0.0000) [1 per cell]
Ni (0.5000, 0.5000, 0.5000) [1 per cell]
Te (0.0000, 0.5000, 0.0000) [2 per cell]
N (0.0000, 0.0000, 0.5000) [1 per cell]

Summary:
The offset from the most stable computed form is 0.0 kJ/mol of formula units. The formation energy from raw total energies is 652.2 meV/atom. For the mass density, the calculation gives 8.1 Mg/m³. The calculated total energy comes out at -5.9154 eV/atom.



(19)
The following is a DFT calculation (PBE-GGA) of an optimized crystal structure of Dy4NiPt3.

Lattice parameters (Å, degrees): 3.7550 4.4383 10.4579 90.00 90.00 90.00
Space group Pmm2 (No. 25)
One atom of each set of equivalent atoms:
Dy (0.0000, 0.0000, 0.0000) [1 per cell]
Dy (0.0000, 0.5000, 0.2719) [1 per cell]
Dy (0.5000, 0.0000, 0.4927) [1 per cell]
Dy (0.5000, 0.5000, 0.7750) [1 per cell]
Ni (0.5000, 0.0000, 0.2140) [1 per cell]
Pt (0.0000, 0.0000, 0.7243) [1 per cell]
Pt (0.0000, 0.5000, 0.5452) [1 per cell]
Pt (0.5000, 0.5000, 0.0577) [1 per cell]

Summary:
For the mass density, the calculation gives 12.3 Mg/m³. The calculated total energy comes out at -6.3676 eV/atom. The value obtained for the energy relative to the elements is -24.9 kcal/mol of atoms.



(20)
The following is a DFT calculation (PBE-GGA) of an optimized crystal structure of TmThSi2O8.

Lattice parameters (Å, degrees): 7.0466 7.0466 6.3031 90.00 90.00 90.00
Space group I-4m2 (No. 119)
One atom of each set of equivalent atoms:
Tm (0.0000, 0.0000, 0.0000) [2 per cell]
Th (0.0000, 0.5000, 0.2500) [2 per cell]
Si (0.0000, 0.0000, 0.5000) [2 per cell]
Si (0.0000, 0.5000, 0.7500) [2 per cell]
O (0.0000, 0.1754, 0.3283) [8 per cell]
O (0.0000, 0.3182, 0.9149) [8 per cell]

Summary:
The formation energy from raw total energies is -3090.0 meV/atom. For the mass density, the calculation gives 6.2 Mg/m³. The calculated total energy comes out at -8.2902 eV/atom.



(21)
The following is a DFT calculation (PBE-GGA) of an optimized crystal structure of LiTl4Pd5.

Lattice parameters (Å, degrees): 8.2786 8.2786 5.7231 90.00 90.00 90.00
Space group I4 (No. 79)
One atom of each set of equivalent atoms:
Li (0.0000, 0.0000, 0.0000) [2 per cell]
Tl (0.0726, 0.6929, 0.7456) [8 per cell]
Pd (0.0000, 0.0000, 0.5489) [2 per cell]
Pd (0.0938, 0.7576, 0.2446) [8 per cell]

Summary:
For the mass density, the calculation gives 11.5 Mg/m³. The calculated total energy comes out at -3.8791 eV/atom. The value obtained for the energy relative to the elements is -3.3 kcal/mol of atoms.



(22)
The following is a DFT calculation (PBE-GGA) of an optimized crystal structure of MgTiN2F.

Lattice parameters (Å, degrees): 3.9527 3.9527 3.5499 90.00 90.00 90.00
Space group P4/mmm (No. 123)
One atom of each set of equivalent atoms:
Mg (0.0000, 0.0000, 0.0000) [1 per cell]
Ti (0.5000, 0.5000, 0.5000) [1 per cell]
N (0.0000, 0.5000, 0.0000) [2 per cell]
F (0.0000, 0.0000, 0.5000) [1 per cell]

Summary:
The offset from the most stable computed form is 401.3 kJ/mol of formula units. The formation energy from raw total energies is -189.6 meV/atom. For the mass density, the calculation gives 3.6 Mg/m³. The calculated total energy comes out at -5.7920 eV/atom.



(23)
The following is a DFT calculation (PBE-GGA) of an optimized crystal structure of La2Pm4NdDy.

Lattice parameters (Å, degrees): 5.1776 5.1882 10.3922 90.00 90.11 90.00
Space group P2/m (No. 10)
One atom of each set of equivalent atoms:
La (0.0000, 0.0000, 0.0000) [1 per cell]
La (0.5000, 0.5000, 0.5000) [1 per cell]
Pm (0.9995, 0.5000, 0.2480) [2 per cell]
Pm (0.5001, 0.0000, 0.2485) [2 per cell]
Nd (0.0000, 0.0000, 0.5000) [1 per cell]
Dy (0.5000, 0.5000, 0.0000) [1 per cell]

Summary:
For the mass density, the calculation gives 6.9 Mg/m³. The calculated total energy comes out at -4.7579 eV/atom. The value obtained for the energy relative to the elements is 0.5 kcal/mol of atoms.